Density functional theory data (PBE) for crystalline TmInSn2 at its relaxed geometry.

## Properties
energy above the most stable polymorph in this dataset = 199 meV per atom
crystal system = trigonal
energy relative to the elements = -0.1734 eV per atom
space-group type = R3m, No. 160
VASP energy = -3.977 eV per atom

```
data_TmInSn2
_chemical_formula_sum 'Tm1 In1 Sn2'
_cell_length_a 4.625
_cell_length_b 4.625
_cell_length_c 6.827
_cell_angle_alpha 70.20
_cell_angle_beta 70.20
_cell_angle_gamma 60.00
_space_group_name_H-M_alt 'P 1'
_space_group_IT_number 1
loop_
_space_group_symop_operation_xyz
'x,y,z'
loop_
_atom_site_label
_atom_site_type_symbol
_atom_site_fract_x
_atom_site_fract_y
_atom_site_fract_z
Tm1 Tm 0.670 0.670 0.991
In1 In 0.496 0.496 0.512
Sn1 Sn 0.083 0.083 0.750
Sn2 Sn 0.251 0.251 0.248
```